<P>
Material: CaTaSe2
Method: DFT, SCAN
State: PBEsol geometry Values from VASP.

## Properties
Its total magnetic moment is 0.00 μB per cell.

```
&SYSTEM
  ibrav = 0, nat = 12, ntyp = 3
/
ATOMIC_SPECIES
Ca 40.08 Ca.upf
Ta 180.95 Ta.upf
Se 78.96 Se.upf
ATOMIC_POSITIONS angstrom
Ca 0.0000 0.0000 0.0000
Ca 0.0000 2.2045 13.0125
Ca 1.9091 1.1022 6.5063
Ta 0.0000 0.0000 9.7594
Ta 0.0000 2.2045 3.2531
Ta 1.9091 1.1022 16.2656
Se 0.0000 0.0000 4.7190
Se 0.0000 0.0000 14.7998
Se 0.0000 2.2045 8.2935
Se 0.0000 2.2045 17.7315
Se 1.9091 1.1022 1.7872
Se 1.9091 1.1022 11.2253
CELL_PARAMETERS angstrom
3.8183 0.0000 0.0000
-1.9091 3.3067 0.0000
0.0000 0.0000 19.5188
```

<Q>
Material: CaTaSe2
Method: DFT, SCAN
State: PBEsol geometry Values from VASP.

## Properties
Its total magnetic moment is 0.00 μB per cell.

```
&SYSTEM
  ibrav = 0, nat = 4, ntyp = 3
/
ATOMIC_SPECIES
Ca 40.08 Ca.upf
Ta 180.95 Ta.upf
Se 78.96 Se.upf
ATOMIC_POSITIONS angstrom
Ca 0.0000 0.0000 0.0000
Ta 1.9060 1.9060 3.2656
Se 0.0000 0.0000 2.8279
Se 1.9060 1.9060 0.4105
CELL_PARAMETERS angstrom
3.8121 0.0000 0.0000
0.0000 3.8121 0.0000
0.0000 0.0000 5.5583
```

<R>
Material: CaTaSe2
Method: DFT, SCAN
State: PBEsol geometry Values from VASP.

## Properties
Its total magnetic moment is 2.78 μB per cell.

```
&SYSTEM
  ibrav = 0, nat = 12, ntyp = 3
/
ATOMIC_SPECIES
Ca 40.08 Ca.upf
Ta 180.95 Ta.upf
Se 78.96 Se.upf
ATOMIC_POSITIONS angstrom
Ca 0.0000 0.0000 0.0000
Ca 0.0000 2.1521 16.9652
Ca 1.8638 1.0761 8.4826
Ta 0.0000 0.0000 12.7239
Ta 0.0000 2.1521 4.2413
Ta 1.8638 1.0761 21.2064
Se 0.0000 0.0000 10.3045
Se 0.0000 0.0000 15.1432
Se 0.0000 2.1521 1.8220
Se 0.0000 2.1521 6.6606
Se 1.8638 1.0761 18.7871
Se 1.8638 1.0761 23.6258
CELL_PARAMETERS angstrom
3.7276 0.0000 0.0000
-1.8638 3.2282 0.0000
0.0000 0.0000 25.4477
```

The most stable arrangement is <P>, and the next structure is 196 meV per atom less stable.

<P>
Material: LiAg2F4
Method: DFT, SCAN
State: PBEsol geometry Values from VASP.

## Properties
Its total magnetic moment is 2.02 μB per cell.

```
&SYSTEM
  ibrav = 0, nat = 14, ntyp = 3
/
ATOMIC_SPECIES
Li 6.94 Li.upf
Ag 107.87 Ag.upf
F 19.00 F.upf
ATOMIC_POSITIONS angstrom
Li 0.7667 1.2388 1.5357
Li 5.3667 8.6718 10.7502
Ag 2.3000 2.2205 4.6072
Ag 3.8333 4.6982 7.6787
Ag 2.3000 5.2125 4.6072
Ag 3.8333 7.6901 7.6787
F 1.8531 2.3790 2.4949
F 4.2803 4.8567 5.5664
F 2.7470 5.0539 2.4949
F 2.7470 2.3790 6.7195
F 3.3864 7.5316 5.5664
F 3.3864 4.8567 9.7910
F 1.8531 5.0539 6.7195
F 4.2803 7.5316 9.7910
CELL_PARAMETERS angstrom
0.0000 4.9553 6.1430
3.0667 0.0000 6.1430
3.0667 4.9553 0.0000
```

<Q>
Material: LiAg2F4
Method: DFT, SCAN
State: PBEsol geometry Values from VASP.

## Properties
Its total magnetic moment is 4.06 μB per cell.

```
&SYSTEM
  ibrav = 0, nat = 28, ntyp = 3
/
ATOMIC_SPECIES
Li 6.94 Li.upf
Ag 107.87 Ag.upf
F 19.00 F.upf
ATOMIC_POSITIONS angstrom
Li 2.7768 0.0000 0.1427
Li 2.7768 0.0000 3.1837
Li 8.3305 0.0000 2.8983
Li 8.3305 0.0000 5.9393
Ag 5.5537 4.5648 4.5615
Ag 3.7734 2.7789 1.5205
Ag 7.3340 2.7789 1.5205
Ag 5.5537 0.9929 4.5615
Ag 5.5537 -0.9929 1.5205
Ag 3.7734 -2.7789 4.5615
Ag 7.3340 -2.7789 4.5615
Ag 5.5537 -4.5648 1.5205
F 1.1654 1.0006 3.3468
F 1.7766 1.6126 0.3046
F 1.1654 -1.0006 0.3058
F 3.7771 1.6126 3.3456
F 1.7766 -1.6126 3.3456
F 4.3883 1.0006 0.3058
F 3.7771 -1.6126 0.3046
F 4.3883 -1.0006 3.3468
F 6.7190 1.0006 2.7352
F 7.3303 1.6126 5.7774
F 6.7190 -1.0006 5.7762
F 9.3307 1.6126 2.7364
F 7.3303 -1.6126 2.7364
F 9.9420 1.0006 5.7762
F 9.3307 -1.6126 5.7774
F 9.9420 -1.0006 2.7352
CELL_PARAMETERS angstrom
5.5537 -5.5577 0.0000
5.5537 5.5577 0.0000
0.0000 0.0000 6.0820
```

The most stable arrangement is <P>, and the next structure is 42 meV per atom less stable.

<P>
Material: TcRh2
Method: DFT, SCAN
State: PBEsol geometry Values from VASP.

## Properties
Its total magnetic moment is 0.00 μB per cell.

```
&SYSTEM
  ibrav = 0, nat = 12, ntyp = 2
/
ATOMIC_SPECIES
Tc 98.00 Tc.upf
Rh 102.91 Rh.upf
ATOMIC_POSITIONS angstrom
Tc 0.8018 1.0726 1.3558
Tc 1.5274 3.2179 5.4104
Tc 3.1309 1.0726 2.6989
Tc 3.8566 3.2179 6.7536
Rh 0.7627 1.0726 6.7659
Rh 0.7918 1.0726 4.0443
Rh 1.5374 3.2179 8.0990
Rh 1.5664 3.2179 2.7112
Rh 3.0919 1.0726 5.3981
Rh 3.1210 1.0726 0.0104
Rh 3.8665 3.2179 4.0651
Rh 3.8956 3.2179 1.3435
CELL_PARAMETERS angstrom
4.6583 0.0000 0.0000
0.0000 4.2906 0.0000
0.0000 0.0000 8.1093
```

<Q>
Material: TcRh2
Method: DFT, SCAN
State: PBEsol geometry Values from VASP.

## Properties
Its total magnetic moment is 0.00 μB per cell.

```
&SYSTEM
  ibrav = 0, nat = 3, ntyp = 2
/
ATOMIC_SPECIES
Tc 98.00 Tc.upf
Rh 102.91 Rh.upf
ATOMIC_POSITIONS angstrom
Tc 0.0000 0.0000 0.0000
Rh 0.0000 2.4557 1.3181
Rh 2.1267 1.2278 1.3181
CELL_PARAMETERS angstrom
4.2533 0.0000 0.0000
-2.1267 3.6835 0.0000
0.0000 0.0000 2.6361
```

The most stable arrangement is <P>, and the next structure is 260 meV per atom less stable.

<P>
Material: MgAg3
Method: DFT, SCAN
State: PBEsol geometry Values from VASP.

## Properties
Its total magnetic moment is 0.00 μB per cell.

```
&SYSTEM
  ibrav = 0, nat = 24, ntyp = 2
/
ATOMIC_SPECIES
Mg 24.30 Mg.upf
Ag 107.87 Ag.upf
ATOMIC_POSITIONS angstrom
Mg -1.4373 2.4895 0.0000
Mg -2.4378 4.2224 4.1849
Mg 2.8746 0.0000 0.0000
Mg 1.4373 2.4895 4.1849
Mg 4.8756 0.0000 4.1849
Mg 2.4378 4.2224 0.0000
Ag 0.0000 0.0000 0.0125
Ag 0.0000 0.0000 4.1974
Ag -1.2030 2.0836 2.7950
Ag -1.2085 2.0931 5.5749
Ag -2.6667 4.6188 1.3900
Ag -2.6722 4.6283 6.9798
Ag 2.4059 0.0000 2.7950
Ag 1.2030 2.0836 6.9798
Ag 2.4169 0.0000 5.5749
Ag 1.2085 2.0931 1.3900
Ag 0.0000 4.4746 2.1044
Ag 0.0000 4.4746 6.2893
Ag 3.8751 2.2373 2.1044
Ag 3.8751 2.2373 6.2893
Ag 5.3333 0.0000 1.3900
Ag 2.6667 4.6188 5.5749
Ag 5.3443 0.0000 6.9798
Ag 2.6722 4.6283 2.7950
CELL_PARAMETERS angstrom
7.7502 0.0000 0.0000
-3.8751 6.7119 0.0000
0.0000 0.0000 8.3698
```

<Q>
Material: MgAg3
Method: DFT, SCAN
State: PBEsol geometry Values from VASP.

## Properties
Its total magnetic moment is 0.00 μB per cell.

```
&SYSTEM
  ibrav = 0, nat = 16, ntyp = 2
/
ATOMIC_SPECIES
Mg 24.30 Mg.upf
Ag 107.87 Ag.upf
ATOMIC_POSITIONS angstrom
Mg 0.0000 0.9691 1.1993
Mg 0.0000 8.8544 3.5980
Mg 2.8926 3.9427 3.5980
Mg 2.8926 5.8809 1.1993
Ag 0.0000 4.0249 3.5980
Ag 0.0000 5.7986 1.1993
Ag 1.4343 1.5491 3.5980
Ag 1.4343 8.2745 1.1993
Ag 1.4583 3.3627 1.1993
Ag 1.4583 6.4608 3.5980
Ag 2.8926 0.8868 1.1993
Ag 2.8926 8.9367 3.5980
Ag 4.3269 3.3627 1.1993
Ag 4.3269 6.4608 3.5980
Ag 4.3509 1.5491 3.5980
Ag 4.3509 8.2745 1.1993
CELL_PARAMETERS angstrom
5.7852 0.0000 0.0000
0.0000 9.8235 0.0000
0.0000 0.0000 4.7973
```

The most stable arrangement is <Q>, and the next structure is 51 meV per atom less stable.